Entry from Alexandria: a relaxed K2TiH6 crystal (GGA-PBE).

Lattice parameters (Å, degrees): 5.919 5.919 5.919 60.00 60.00 60.00
Atoms (fractional coordinates):
Ti1 0.000 0.000 0.000
K1 0.250 0.250 0.250
K2 0.750 0.750 0.750
H1 0.782 0.218 0.218
H2 0.782 0.218 0.782
H3 0.218 0.218 0.782
H4 0.782 0.782 0.218
H5 0.218 0.782 0.782
H6 0.218 0.782 0.218

Symmetry: Fm-3m (225)
Crystal system: cubic
Final energy: -3.38 eV/atom

Entry from Alexandria: a relaxed KTiH3 crystal (GGA-PBE).

Lattice parameters (Å, degrees): 4.272 4.272 4.272 90.00 90.00 90.00
Atoms (fractional coordinates):
H1 0.000 0.500 0.000
H2 0.000 0.000 0.500
H3 0.500 0.000 0.000
K1 0.000 0.000 0.000
Ti1 0.500 0.500 0.500

Offset from the most stable computed form: 5.91 eV per formula unit
Symmetry: Pm-3m (221)
Crystal system: cubic

Entry from Alexandria: a relaxed K2TiH crystal (GGA-PBE).

Lattice parameters (Å, degrees): 5.915 5.915 5.915 60.00 60.00 60.00
Atoms (fractional coordinates):
Ti1 0.500 0.500 0.500
H1 0.000 0.000 0.000
K1 0.250 0.250 0.250
K2 0.750 0.750 0.750

Offset from the most stable computed form: 2.37 eV per formula unit
Symmetry: Fm-3m (225)
Crystal system: cubic

Entry from Alexandria: a relaxed KTi2H crystal (GGA-PBE).

Lattice parameters (Å, degrees): 6.202 6.202 6.200 59.99 59.99 90.00
Atoms (fractional coordinates):
Ti1 0.375 0.125 0.250
Ti2 0.375 0.625 0.750
Ti3 0.375 0.625 0.250
Ti4 0.875 0.625 0.750
H1 0.500 0.500 0.000
H2 0.250 0.750 0.500
K1 0.000 0.000 0.000
K2 0.750 0.250 0.500

Offset from the most stable computed form: 0.00 eV per formula unit
Symmetry: Fd-3m (227)
Crystal system: cubic

Entry from Alexandria: a relaxed KTiH3 crystal (GGA-PBE).

Lattice parameters (Å, degrees): 3.969 3.969 3.969 90.00 90.00 90.00
Atoms (fractional coordinates):
H1 0.500 0.000 0.000
H2 0.000 0.000 0.500
H3 0.000 0.500 0.000
Ti1 0.000 0.000 0.000
K1 0.500 0.500 0.500

Offset from the most stable computed form: 0.00 eV per formula unit
Symmetry: Pm-3m (221)
Crystal system: cubic

Entry from Alexandria: a relaxed KTi2H crystal (GGA-PBE).

Lattice parameters (Å, degrees): 4.721 4.721 4.721 60.00 60.00 60.00
Atoms (fractional coordinates):
K1 0.500 0.500 0.500
Ti1 0.250 0.250 0.250
Ti2 0.750 0.750 0.750
H1 0.000 0.000 0.000

Offset from the most stable computed form: 4.74 eV per formula unit
Symmetry: Fm-3m (225)
Crystal system: cubic